No. 1
# Cr2TeC

A relaxed Cr2TeC crystal (GGA-PBE, Alexandria via LeMat-Bulk).

a = 4.2050 Å, b = 4.2050 Å, c = 4.2050 Å
α = 60.00°, β = 60.00°, γ = 60.00°
With the nearest neighbours (Å) after each atom.
Element x y z (fractional)
Cr1 0.2500 0.2500 0.2500  4 Te 2.57, 4 C 2.57
Cr2 0.7500 0.7500 0.7500  4 Te 2.57, 4 C 2.57
Te1 0.0000 0.0000 0.0000  8 Cr 2.57
C1 0.5000 0.5000 0.5000  8 Cr 2.57

V = 52.6 Å³/cell
Energy relative to the elements, uncorrected = 1.20 eV per atom
Fermi-level density of states = 2.145 states/eV/cell
Raw total energy = -26.80 eV for the cell shown

No. 2
# Ac4SeS2N

A relaxed Ac4SeS2N crystal (GGA-PBE, Alexandria via LeMat-Bulk).

a = 8.5359 Å, b = 8.5359 Å, c = 8.5359 Å
α = 120.89°, β = 119.17°, γ = 89.95°
With the nearest neighbours (Å) after each atom.
Element x y z (fractional)
Ac1 0.2678 0.2602 0.4923  1 N 2.80, 2 S 2.98, 2 Se 3.07
Ac2 0.2678 0.7755 0.0077  1 N 2.80, 2 S 2.98, 2 Se 3.07
Ac3 0.2761 0.2465 0.0297  2 N 2.84, 1 S 2.99, 1 Se 3.07
Ac4 0.2832 0.7535 0.5297  2 N 2.84, 1 S 2.99, 1 Se 3.07
Ac5 0.7168 0.2465 0.4703  2 N 2.84, 1 S 2.99, 1 Se 3.07
Ac6 0.7239 0.7535 0.9703  2 N 2.84, 1 S 2.99, 1 Se 3.07
Ac7 0.7322 0.2245 0.9923  1 N 2.80, 2 S 2.98, 2 Se 3.07
Ac8 0.7322 0.7398 0.5077  1 N 2.80, 2 S 2.98, 2 Se 3.07
Se1 0.0000 0.5000 0.5000  6 Ac 3.07
Se2 0.5000 0.5000 0.0000  6 Ac 3.07
S1 0.0000 0.0000 0.0000  6 Ac 2.98-2.99
S2 0.0000 0.0000 0.5000  6 Ac 3.21-3.24
S3 0.0000 0.5000 0.0000  6 Ac 3.21-3.24
S4 0.5000 0.0000 0.5000  6 Ac 2.98-2.99
N1 0.5000 0.0000 0.0000  6 Ac 2.80-2.84
N2 0.5000 0.5000 0.5000  6 Ac 2.80-2.84

V = 439.4 Å³/cell
Energy relative to the elements, uncorrected = -1.69 eV per atom
Fermi-level density of states = 8.294 states/eV/cell
Raw total energy = -100.06 eV for the cell shown

Repeat the second record exactly.
# Ac4SeS2N

A relaxed Ac4SeS2N crystal (GGA-PBE, Alexandria via LeMat-Bulk).

a = 8.5359 Å, b = 8.5359 Å, c = 8.5359 Å
α = 120.89°, β = 119.17°, γ = 89.95°
With the nearest neighbours (Å) after each atom.
Element x y z (fractional)
Ac1 0.2678 0.2602 0.4923  1 N 2.80, 2 S 2.98, 2 Se 3.07
Ac2 0.2678 0.7755 0.0077  1 N 2.80, 2 S 2.98, 2 Se 3.07
Ac3 0.2761 0.2465 0.0297  2 N 2.84, 1 S 2.99, 1 Se 3.07
Ac4 0.2832 0.7535 0.5297  2 N 2.84, 1 S 2.99, 1 Se 3.07
Ac5 0.7168 0.2465 0.4703  2 N 2.84, 1 S 2.99, 1 Se 3.07
Ac6 0.7239 0.7535 0.9703  2 N 2.84, 1 S 2.99, 1 Se 3.07
Ac7 0.7322 0.2245 0.9923  1 N 2.80, 2 S 2.98, 2 Se 3.07
Ac8 0.7322 0.7398 0.5077  1 N 2.80, 2 S 2.98, 2 Se 3.07
Se1 0.0000 0.5000 0.5000  6 Ac 3.07
Se2 0.5000 0.5000 0.0000  6 Ac 3.07
S1 0.0000 0.0000 0.0000  6 Ac 2.98-2.99
S2 0.0000 0.0000 0.5000  6 Ac 3.21-3.24
S3 0.0000 0.5000 0.0000  6 Ac 3.21-3.24
S4 0.5000 0.0000 0.5000  6 Ac 2.98-2.99
N1 0.5000 0.0000 0.0000  6 Ac 2.80-2.84
N2 0.5000 0.5000 0.5000  6 Ac 2.80-2.84

V = 439.4 Å³/cell
Energy relative to the elements, uncorrected = -1.69 eV per atom
Fermi-level density of states = 8.294 states/eV/cell
Raw total energy = -100.06 eV for the cell shown